1.
DFT (PBE) results for a relaxed structure of TmLuAlOs.

```
4
Lattice="0.000 3.431 3.431 3.431 0.000 3.431 3.431 3.431 0.000" Properties=species:S:1:pos:R:3 pbc="T T T"
Tm 0.000 0.000 0.000
Lu 3.431 3.431 3.431
Al 1.715 1.715 1.715
Os 5.146 5.146 5.146
```

Summary:
As for the calculated volume: 81 Å³/f.u. As for the space group: F-43m, No. 216. The calculation puts the formation energy at -8.04 kcal/mol of atoms.

---

2.
DFT (PBE) results for a relaxed structure of PrSm3Cd4.

```
16
Lattice="10.784 0.000 0.000 0.000 7.735 0.000 0.000 0.000 5.392" Properties=species:S:1:pos:R:3 pbc="T T T"
Pr 0.000 0.000 0.000
Pr 5.392 0.000 0.000
Sm 0.000 3.868 0.000
Sm 2.696 0.000 2.689
Sm 2.696 3.868 2.689
Sm 5.392 3.868 0.000
Sm 8.088 0.000 2.703
Sm 8.088 3.868 2.703
Cd 0.000 1.967 2.696
Cd 0.000 5.768 2.696
Cd 2.696 1.967 5.384
Cd 2.696 5.768 5.384
Cd 5.392 1.967 2.696
Cd 5.392 5.768 2.696
Cd 8.088 1.967 0.008
Cd 8.088 5.768 0.008
```

Summary:
As for the calculated volume: 225 Å³/f.u. As for the space group: Pmma, No. 51. The calculation puts the formation energy at -7.31 kcal/mol of atoms.

---

3.
DFT (PBE) results for a relaxed structure of TbPrAs2O8.

```
12
Lattice="-2.566 2.566 5.808 2.566 -2.566 5.808 2.566 2.566 -5.808" Properties=species:S:1:pos:R:3 pbc="T T T"
Tb 0.000 0.000 0.000
Pr 0.000 2.566 2.904
As 2.566 0.000 2.904
As 0.000 0.000 5.808
O 3.848 -0.696 1.975
O 1.870 -1.282 3.833
O 1.807 1.287 -0.883
O 1.284 0.696 1.975
O 1.279 -0.759 6.691
O 3.262 1.282 3.833
O 0.759 1.279 4.926
O 1.287 3.325 0.883
```

Summary:
As for the calculated volume: 153 Å³/f.u. As for the space group: I-4, No. 82. The value obtained for the formation energy without anion corrections is -2326 meV/atom.

---

4.
DFT (PBE) results for a relaxed structure of Ca2Tl2Cd.

```
10
Lattice="5.946 -2.426 0.000 5.946 2.426 0.000 -4.861 0.000 10.267" Properties=species:S:1:pos:R:3 pbc="T T T"
Ca -1.468 0.000 3.463
Ca 1.612 0.000 1.022
Ca 5.420 0.000 9.245
Ca 8.500 0.000 6.804
Tl 2.220 0.000 4.331
Tl 4.897 0.000 1.207
Tl 2.134 0.000 9.060
Tl 4.811 0.000 5.936
Cd 0.179 0.000 6.808
Cd 6.852 0.000 3.459
```

Summary:
As for the calculated volume: 148 Å³/f.u. The value obtained for the energy above the lowest structure with this stoichiometry is 0.0 kJ per mole of atoms. As for the space group: C2/m, No. 12. The calculation puts the formation energy at -7.51 kcal/mol of atoms.

---

5.
DFT (PBE) results for a relaxed structure of Ag2OsPt.

```
4
Lattice="2.733 0.000 0.000 0.000 4.807 0.000 0.000 0.000 4.975" Properties=species:S:1:pos:R:3 pbc="T T T"
Ag 0.000 0.000 0.000
Ag 1.367 2.403 0.000
Os 0.000 2.403 2.488
Pt 1.367 0.000 2.488
```

Summary:
As for the calculated volume: 65 Å³/f.u. The value obtained for the energy above the lowest structure with this stoichiometry is 17.9 kJ per mole of atoms. As for the space group: Pmmm, No. 47. The calculation puts the formation energy at 10.14 kcal/mol of atoms.

---

6.
DFT (PBE) results for a relaxed structure of KCaBr2.

```
4
Lattice="4.392 -4.400 0.000 4.392 4.400 0.000 -0.601 0.000 4.278" Properties=species:S:1:pos:R:3 pbc="T T T"
K 0.000 0.000 0.000
Ca 4.392 0.000 0.000
Br 2.196 2.200 0.000
Br 2.196 -2.200 0.000
```

Summary:
As for the calculated volume: 165 Å³/f.u. The value obtained for the energy above the lowest structure with this stoichiometry is 12.5 kJ per mole of atoms. As for the space group: C2/m, No. 12. The value obtained for the formation energy without anion corrections is -1354 meV/atom.

---

7.
DFT (PBE) results for a relaxed structure of AcCu2Pt.

```
8
Lattice="2.084 -9.575 0.000 2.084 9.575 0.000 0.000 0.000 4.215" Properties=species:S:1:pos:R:3 pbc="T T T"
Ac 2.084 7.455 3.161
Ac 2.084 -7.455 1.054
Cu 2.084 4.779 1.054
Cu 2.084 0.648 3.161
Cu 2.084 -0.648 1.054
Cu 2.084 -4.779 3.161
Pt 2.084 3.212 3.161
Pt 2.084 -3.212 1.054
```

Summary:
As for the calculated volume: 84 Å³/f.u. As for the space group: Cmcm, No. 63. The calculation puts the formation energy at -11.27 kcal/mol of atoms.

---

8.
DFT (PBE) results for a relaxed structure of TbEr6Th2.

```
18
Lattice="7.005 -6.332 0.000 7.005 6.332 0.000 -1.774 0.000 6.447" Properties=species:S:1:pos:R:3 pbc="T T T"
Tb 5.674 4.602 4.836
Tb 6.561 -4.602 1.612
Er 2.822 2.679 1.592
Er 0.226 1.159 5.080
Er 1.113 -1.159 1.856
Er 6.132 1.886 3.131
Er 6.991 1.886 0.092
Er 1.935 -2.679 4.815
Er 10.301 2.679 1.632
Er 5.245 -1.886 6.355
Er 6.104 -1.886 3.316
Er 11.123 1.159 4.592
Er 12.010 -1.159 1.368
Er 9.414 -2.679 4.856
Th 3.399 0.292 4.067
Th 4.286 -0.292 0.843
Th 7.950 0.292 5.605
Th 8.837 -0.292 2.381
```

Summary:
As for the calculated volume: 286 Å³/f.u. The value obtained for the energy above the lowest structure with this stoichiometry is 0.0 kJ per mole of atoms. As for the space group: C2/c, No. 15. The calculation puts the formation energy at 4.26 kcal/mol of atoms.

---

9.
DFT (PBE) results for a relaxed structure of PmYPtRh.

```
4
Lattice="4.379 0.000 0.000 0.000 1.932 5.356 0.000 -1.932 5.356" Properties=species:S:1:pos:R:3 pbc="T T T"
Pm 0.000 0.000 0.000
Y 2.190 0.000 7.689
Pt 2.190 0.000 4.709
Rh 0.000 0.000 2.856
```

Summary:
As for the calculated volume: 91 Å³/f.u. The value obtained for the energy above the lowest structure with this stoichiometry is 0.0 kJ per mole of atoms. As for the space group: Amm2, No. 38. The calculation puts the formation energy at -22.82 kcal/mol of atoms.

---

10.
DFT (PBE) results for a relaxed structure of MnFe2Hg.

```
8
Lattice="-3.525 3.525 2.610 3.525 -3.525 2.610 3.525 3.525 -2.610" Properties=species:S:1:pos:R:3 pbc="T T T"
Mn 0.000 0.000 0.000
Mn 0.000 3.525 1.305
Fe 5.288 1.702 -0.653
Fe 1.702 1.763 0.653
Fe -1.763 1.823 1.958
Fe 1.823 1.763 3.263
Hg 3.525 0.000 1.305
Hg 0.000 0.000 2.610
```

Summary:
As for the calculated volume: 65 Å³/f.u. As for the space group: I-42d, No. 122. The calculation puts the formation energy at 17.64 kcal/mol of atoms.

---

11.
DFT (PBE) results for a relaxed structure of Pm5Sb2C.

```
16
Lattice="2.853 -5.192 0.000 2.853 5.192 0.000 0.000 0.000 15.498" Properties=species:S:1:pos:R:3 pbc="T T T"
Pm 2.853 4.202 9.778
Pm 2.853 4.202 13.469
Pm 2.853 2.593 3.874
Pm 2.853 0.993 9.778
Pm 2.853 0.993 13.468
Pm 2.853 -0.993 2.029
Pm 2.853 -0.993 5.720
Pm 2.853 -2.593 11.623
Pm 2.853 -4.202 2.029
Pm 2.853 -4.202 5.720
Sb 2.853 2.615 0.886
Sb 2.853 2.615 6.862
Sb 2.853 -2.615 8.635
Sb 2.853 -2.615 14.611
C 2.853 2.593 11.623
C 2.853 -2.593 3.874
```

Summary:
As for the calculated volume: 230 Å³/f.u. As for the space group: Cmcm, No. 63. The value obtained for the formation energy without anion corrections is -444 meV/atom.

---

12.
DFT (PBE) results for a relaxed structure of CdFeRe2Sb.

```
5
Lattice="4.964 0.000 0.000 0.000 4.964 0.000 0.000 0.000 5.205" Properties=species:S:1:pos:R:3 pbc="T T T"
Cd 0.000 0.000 0.000
Fe 2.482 2.482 2.602
Re 0.000 2.482 0.000
Re 2.482 0.000 0.000
Sb 0.000 0.000 2.602
```

Summary:
As for the calculated volume: 128 Å³/f.u. As for the space group: P4/mmm, No. 123. The value obtained for the formation energy without anion corrections is 2898 meV/atom.

---

13.
DFT (PBE) results for a relaxed structure of La3PdSe.

```
5
Lattice="5.606 0.000 0.000 0.000 5.606 0.000 0.000 0.000 5.606" Properties=species:S:1:pos:R:3 pbc="T T T"
La 0.000 0.000 2.803
La 0.000 2.803 0.000
La 2.803 0.000 0.000
Pd 2.803 2.803 2.803
Se 0.000 0.000 0.000
```

Summary:
As for the calculated volume: 176 Å³/f.u. The value obtained for the energy above the lowest structure with this stoichiometry is 0.0 kJ per mole of atoms. As for the space group: Pm-3m, No. 221. The value obtained for the formation energy without anion corrections is -431 meV/atom.

---

14.
DFT (PBE) results for a relaxed structure of RuPt2Se.

```
4
Lattice="-1.973 1.973 4.106 1.973 -1.973 4.106 1.973 1.973 -4.106" Properties=species:S:1:pos:R:3 pbc="T T T"
Ru 0.000 0.000 0.000
Pt 1.973 0.000 2.053
Pt 0.000 1.973 2.053
Se 0.000 0.000 4.106
```

Summary:
As for the calculated volume: 64 Å³/f.u. As for the space group: I4/mmm, No. 139. The value obtained for the formation energy without anion corrections is 400 meV/atom.